# 1
Material: Ti3CuBi
Method: DFT, GGA-PBE
State: optimized geometry

```
data_Ti3CuBi
_cell_length_a 4.653
_cell_length_b 4.653
_cell_length_c 4.653
_cell_angle_alpha 90.00
_cell_angle_beta 90.00
_cell_angle_gamma 90.00
_symmetry_space_group_name_H-M 'P m -3 m'
_symmetry_Int_Tables_number 221
_symmetry_space_group_name_Hall '-P 4 2 3'
loop_
_atom_site_label
_atom_site_fract_x
_atom_site_fract_y
_atom_site_fract_z
Ti1 0.000 0.000 0.500
Cu1 0.000 0.000 0.000
Bi1 0.500 0.500 0.500
```

Properties
* electronic total energy: -6.013 eV per atom

# 2
Material: Zr2CoI
Method: DFT, GGA-PBE
State: optimized geometry

```
data_Zr2CoI
_cell_length_a 6.277
_cell_length_b 6.277
_cell_length_c 11.491
_cell_angle_alpha 90.00
_cell_angle_beta 90.00
_cell_angle_gamma 90.00
_symmetry_space_group_name_H-M 'I -4 2 d'
_symmetry_Int_Tables_number 122
_symmetry_space_group_name_Hall 'I -4 2bw'
loop_
_atom_site_label
_atom_site_fract_x
_atom_site_fract_y
_atom_site_fract_z
Zr1 0.168 0.250 0.125
Co1 0.000 0.000 0.000
I1 0.000 0.000 0.500
```

Properties
* electronic total energy: -6.053 eV per atom

# 3
Material: TaPt3Rh2
Method: DFT, GGA-PBE
State: optimized geometry

```
data_TaPt3Rh2
_cell_length_a 5.586
_cell_length_b 7.857
_cell_length_c 16.828
_cell_angle_alpha 90.00
_cell_angle_beta 90.00
_cell_angle_gamma 90.00
_symmetry_space_group_name_H-M 'F d d d'
_symmetry_Int_Tables_number 70
loop_
_symmetry_equiv_pos_as_xyz
'x,y,z'
'-x,-y,-z'
'-x+1/4,-y+1/4,z'
'x+1/4,y+1/4,-z'
'x,-y+1/4,-z+1/4'
'-x,y+1/4,z+1/4'
'-x+1/4,y,-z+1/4'
'x+1/4,-y,z+1/4'
'x,y+1/2,z+1/2'
'-x,-y+1/2,-z+1/2'
'-x+1/4,-y+3/4,z+1/2'
'x+1/4,y+3/4,-z+1/2'
'x,-y+3/4,-z+3/4'
'-x,y+3/4,z+3/4'
'-x+1/4,y+1/2,-z+3/4'
'x+1/4,-y+1/2,z+3/4'
'x+1/2,y,z+1/2'
'-x+1/2,-y,-z+1/2'
'-x+3/4,-y+1/4,z+1/2'
'x+3/4,y+1/4,-z+1/2'
'x+1/2,-y+1/4,-z+3/4'
'-x+1/2,y+1/4,z+3/4'
'-x+3/4,y,-z+3/4'
'x+3/4,-y,z+3/4'
'x+1/2,y+1/2,z'
'-x+1/2,-y+1/2,-z'
'-x+3/4,-y+3/4,z'
'x+3/4,y+3/4,-z'
'x+1/2,-y+3/4,-z+1/4'
'-x+1/2,y+3/4,z+1/4'
'-x+3/4,y+1/2,-z+1/4'
'x+3/4,-y+1/2,z+1/4'
loop_
_atom_site_label
_atom_site_fract_x
_atom_site_fract_y
_atom_site_fract_z
Ta1 0.125 0.125 0.125
Pt1 0.125 0.125 0.294
Pt2 0.125 0.125 0.625
Rh1 0.125 0.125 0.460
```

Properties
* electronic total energy: -7.904 eV per atom

# 4
Material: Mg2ZnRh
Method: DFT, GGA-PBE
State: optimized geometry

```
data_Mg2ZnRh
_cell_length_a 4.149
_cell_length_b 4.149
_cell_length_c 3.733
_cell_angle_alpha 90.00
_cell_angle_beta 90.00
_cell_angle_gamma 90.00
_symmetry_space_group_name_H-M 'P 4/m m m'
_symmetry_Int_Tables_number 123
_symmetry_space_group_name_Hall '-P 4 2'
loop_
_atom_site_label
_atom_site_fract_x
_atom_site_fract_y
_atom_site_fract_z
Mg1 0.000 0.500 0.000
Zn1 0.000 0.000 0.500
Rh1 0.500 0.500 0.500
```

Properties
* electronic total energy: -3.290 eV per atom

# 5
Material: CsCaN3
Method: DFT, GGA-PBE
State: optimized geometry

```
data_CsCaN3
_cell_length_a 4.926
_cell_length_b 4.926
_cell_length_c 4.926
_cell_angle_alpha 90.00
_cell_angle_beta 90.00
_cell_angle_gamma 90.00
_symmetry_space_group_name_H-M 'P m -3 m'
_symmetry_Int_Tables_number 221
_symmetry_space_group_name_Hall '-P 4 2 3'
loop_
_atom_site_label
_atom_site_fract_x
_atom_site_fract_y
_atom_site_fract_z
Cs1 0.000 0.000 0.000
Ca1 0.500 0.500 0.500
N1 0.000 0.500 0.500
```

Properties
* electronic total energy: -4.191 eV per atom

# 6
Material: HfGaNiIr
Method: DFT, GGA-PBE
State: optimized geometry

```
data_HfGaNiIr
_cell_length_a 4.065
_cell_length_b 4.065
_cell_length_c 7.321
_cell_angle_alpha 90.00
_cell_angle_beta 90.00
_cell_angle_gamma 90.00
_symmetry_space_group_name_H-M 'I -4 m 2'
_symmetry_Int_Tables_number 119
_symmetry_space_group_name_Hall 'I -4 -2'
loop_
_atom_site_label
_atom_site_fract_x
_atom_site_fract_y
_atom_site_fract_z
Hf1 0.000 0.000 0.000
Ga1 0.000 0.000 0.500
Ni1 0.000 0.500 0.750
Ir1 0.000 0.500 0.250
```

Properties
* electronic total energy: -7.567 eV per atom

# 7
Material: TiGa3Ag
Method: DFT, GGA-PBE
State: optimized geometry

```
data_TiGa3Ag
_cell_length_a 4.956
_cell_length_b 4.956
_cell_length_c 4.956
_cell_angle_alpha 90.00
_cell_angle_beta 90.00
_cell_angle_gamma 90.00
_symmetry_space_group_name_H-M 'P m -3 m'
_symmetry_Int_Tables_number 221
_symmetry_space_group_name_Hall '-P 4 2 3'
loop_
_atom_site_label
_atom_site_fract_x
_atom_site_fract_y
_atom_site_fract_z
Ti1 0.000 0.000 0.000
Ga1 0.000 0.000 0.500
Ag1 0.500 0.500 0.500
```

Properties
* electronic total energy: -3.408 eV per atom

# 8
Material: TiZnF2
Method: DFT, GGA-PBE
State: optimized geometry

```
data_TiZnF2
_cell_length_a 2.7349
_cell_length_b 2.7349
_cell_length_c 25.2624
_cell_angle_alpha 90.00
_cell_angle_beta 90.00
_cell_angle_gamma 120.00
_symmetry_space_group_name_H-M 'R -3 m'
_symmetry_Int_Tables_number 166
_symmetry_space_group_name_Hall '-R 3 2"'
loop_
_atom_site_label
_atom_site_fract_x
_atom_site_fract_y
_atom_site_fract_z
Ti1 0.0000 0.0000 0.0000
Zn1 0.0000 0.0000 0.5000
F1 0.0000 0.0000 0.3900
```

Properties
* electronic total energy: -5.178 eV per atom